VASP calculation (PBE+U) on HfZn2NiF after structural relaxation.

Properties
Its total energy is -17.3 eV/cell. The value obtained for the mass density is 7.96 g/cm3.

Cell lengths 4.6184, 4.6184, 3.7826 Å; angles 90.00, 90.00, 90.00 degrees
Space group P4/mmm (No. 123)
One atom of each set of equivalent atoms:
Hf 0.0000 0.0000 0.0000 x1
Zn 0.0000 0.5000 0.5000 x2
Ni 0.5000 0.5000 0.0000 x1
F 0.5000 0.5000 0.5000 x1